4
Lattice="-4.506 -4.102 -0.239 0.127 -5.390 2.849 0.985 5.934 0.997" Properties=species:S:1:pos:R:3 comment="KScTa2 PBE-GGA optimized geometry" magmom_total_mub_per_fu=0.0 dft_energy_ev_per_atom=-6.54 formation_energy_kcal_per_mol_atoms=28.636 sg="I4/mmm (139)" relative_energy_mev_per_atom=684 pbc="T T T"
K -0.539 -2.100 2.576
Sc -2.855 -1.456 1.032
Ta 0.000 0.000 0.000
Ta -2.189 -4.746 1.305